1.
# ZnSi5

A relaxed structure of ZnSi5 (GGA-PBE, the Alexandria database).

Summary:
DOS at the Fermi energy in states/eV per atom: 0.61
E_tot in eV/atom: -4.152
Excess energy over the best structure of this formula in the dataset in meV per atom: 241

a b c (Å): 5.0987 5.0987 5.0987
angles (deg): 60.00 60.00 60.00
Atoms (fractional coordinates):
1 Zn 0.0000 0.0000 0.0000
2 Si 0.3747 0.3747 0.3747
3 Si 0.3747 0.3747 0.8759
4 Si 0.3747 0.8759 0.3747
5 Si 0.7500 0.7500 0.7500
6 Si 0.8759 0.3747 0.3747

2.
# Ba5Tl3Cl12

A relaxed structure of Ba5Tl3Cl12 (GGA-PBE, the Alexandria database).

Summary:
DOS at the Fermi energy in states/eV per atom: 0.36
E_tot in eV/atom: -3.831

a b c (Å): 16.3200 16.3200 16.3200
angles (deg): 109.47 109.47 109.47
Atoms (fractional coordinates):
1 Ba 0.0000 0.0000 0.0000
2 Ba 0.0000 0.0000 0.5000
3 Ba 0.0000 0.5000 0.0000
4 Ba 0.0000 0.5000 0.5000
5 Ba 0.1250 0.7500 0.8750
6 Ba 0.1250 0.8750 0.2500
7 Ba 0.2500 0.1250 0.8750
8 Ba 0.2500 0.6250 0.3750
9 Ba 0.3750 0.2500 0.6250
10 Ba 0.3750 0.6250 0.7500
11 Ba 0.5000 0.0000 0.0000
12 Ba 0.5000 0.0000 0.5000
13 Ba 0.5000 0.5000 0.0000
14 Ba 0.5000 0.5000 0.5000
15 Ba 0.6250 0.3750 0.2500
16 Ba 0.6250 0.7500 0.3750
17 Ba 0.7500 0.3750 0.6250
18 Ba 0.7500 0.8750 0.1250
19 Ba 0.8750 0.1250 0.7500
20 Ba 0.8750 0.2500 0.1250
21 Tl 0.1250 0.2500 0.3750
22 Tl 0.1250 0.3750 0.7500
23 Tl 0.2500 0.3750 0.1250
24 Tl 0.2500 0.8750 0.6250
25 Tl 0.3750 0.1250 0.2500
26 Tl 0.3750 0.7500 0.1250
27 Tl 0.6250 0.2500 0.8750
28 Tl 0.6250 0.8750 0.7500
29 Tl 0.7500 0.1250 0.3750
30 Tl 0.7500 0.6250 0.8750
31 Tl 0.8750 0.6250 0.2500
32 Tl 0.8750 0.7500 0.6250
33 Cl 0.0381 0.2143 0.1138
34 Cl 0.0381 0.3238 0.9243
35 Cl 0.0757 0.6138 0.3995
36 Cl 0.0757 0.9619 0.6762
37 Cl 0.1005 0.7143 0.6762
38 Cl 0.1005 0.8862 0.4243
39 Cl 0.1138 0.0381 0.2143
40 Cl 0.1138 0.5757 0.8995
41 Cl 0.1762 0.2143 0.6005
42 Cl 0.1762 0.4619 0.5757
43 Cl 0.2143 0.1138 0.0381
44 Cl 0.2143 0.6005 0.1762
45 Cl 0.2857 0.3238 0.8995
46 Cl 0.2857 0.4619 0.3862
47 Cl 0.3238 0.8995 0.2857
48 Cl 0.3238 0.9243 0.0381
49 Cl 0.3862 0.2857 0.4619
50 Cl 0.3862 0.6005 0.9243
51 Cl 0.3995 0.0757 0.6138
52 Cl 0.3995 0.8238 0.7857
53 Cl 0.4243 0.1005 0.8862
54 Cl 0.4243 0.8238 0.5381
55 Cl 0.4619 0.3862 0.2857
56 Cl 0.4619 0.5757 0.1762
57 Cl 0.5381 0.4243 0.8238
58 Cl 0.5381 0.6138 0.7143
59 Cl 0.5757 0.1762 0.4619
60 Cl 0.5757 0.8995 0.1138
61 Cl 0.6005 0.1762 0.2143
62 Cl 0.6005 0.9243 0.3862
63 Cl 0.6138 0.3995 0.0757
64 Cl 0.6138 0.7143 0.5381
65 Cl 0.6762 0.0757 0.9619
66 Cl 0.6762 0.1005 0.7143
67 Cl 0.7143 0.5381 0.6138
68 Cl 0.7143 0.6762 0.1005
69 Cl 0.7857 0.3995 0.8238
70 Cl 0.7857 0.8862 0.9619
71 Cl 0.8238 0.5381 0.4243
72 Cl 0.8238 0.7857 0.3995
73 Cl 0.8862 0.4243 0.1005
74 Cl 0.8862 0.9619 0.7857
75 Cl 0.8995 0.1138 0.5757
76 Cl 0.8995 0.2857 0.3238
77 Cl 0.9243 0.0381 0.3238
78 Cl 0.9243 0.3862 0.6005
79 Cl 0.9619 0.6762 0.0757
80 Cl 0.9619 0.7857 0.8862

Short version: formation energy without anion corrections = 3.5; -37.7 eV per formula unit, in the order given.